DFT (PBE) results for a relaxed CeAgPtO4 crystal.

Cell: 6.7468 7.2171 8.6446 Å, 90.00 90.00 90.00°
Closest atoms and distances in Å follow each position.
Space group Imma (No. 74)
One atom of each set of equivalent atoms:
1 Ce 0.0000 0.0000 0.0000 (multiplicity 4)  6 O 2.30-2.31
2 Ag 0.0000 0.2500 0.3540 (multiplicity 4)  4 O 2.37-2.39
3 Pt 0.2500 0.2500 0.7500 (multiplicity 4)  6 O 2.08-2.17
4 O 0.0000 0.0619 0.7389 (multiplicity 8)  2 Pt 2.17, 1 Ce 2.30, 1 Ag 2.39
5 O 0.2126 0.2500 0.9884 (multiplicity 8)  1 Pt 2.08, 2 Ce 2.31

The final energy is -6.387 eV/atom.


DFT (PBE) results for a relaxed SrLi2Mn crystal.

Cell: 6.3745 10.7160 3.4640 Å, 90.00 117.39 90.00°
Closest atoms and distances in Å follow each position.
Space group C2/m (No. 12)
One atom of each set of equivalent atoms:
1 Sr 0.0000 0.0000 0.0000 (multiplicity 2)  4 Mn 3.19-3.46, 4 Li 3.19, 2 Sr 3.46
2 Li 0.2500 0.2500 0.5000 (multiplicity 4)  6 Li 3.19-3.46, 2 Mn 3.19, 2 Sr 3.19
3 Mn 0.0000 0.5000 0.0000 (multiplicity 2)  4 Sr 3.19-3.46, 4 Li 3.19, 2 Mn 3.46

The final energy is -3.174 eV/atom. Its formation energy is 0.495 eV per atom. The polymorph energy (0 for the lowest one) is 138 meV per atom.